The following is a DFT calculation (PBE-GGA) of a relaxed LaPmNd2Sm crystal.

a = 6.721 Å, b = 8.490 Å, c = 6.359 Å
α = 94.54°, β = 90.00°, γ = 90.00°
Sites, in units of the cell vectors:
1 La 0.000 0.000 0.500
2 La 0.000 0.000 0.000
3 Nd 0.688 0.691 0.778
4 Nd 0.312 0.309 0.222
5 Nd 0.312 0.691 0.278
6 Nd 0.688 0.309 0.722
7 Pm 0.430 0.000 0.750
8 Pm 0.570 0.000 0.250
9 Sm 0.163 0.500 0.750
10 Sm 0.837 0.500 0.250

calculated formation energy: 250 meV/atom
total moment: 0.00 μB per formula unit
crystal system: monoclinic